Material: V2InOF
Method: DFT, PBE with a Hubbard U
State: optimized geometry

a b c (Å): 5.4912 5.4912 4.1583
angles (deg): 90.00 90.00 90.00
Fractional positions:
V 0.0000 0.5000 0.0000
V 0.5000 0.0000 0.0000
In 0.0000 0.0000 0.0000
O 0.0000 0.0000 0.5000
F 0.5000 0.5000 0.5000

## Properties
- SG: P4/mmm, No. 123
- DOS(E_F): 2.10 states/eV/atom
- DFT total energy: -20.40 eV for the cell shown